[1]
The following is a PBE calculation of an optimized crystal structure of TaSi2Sn, from Alexandria.

Output
Formation energy from raw total energies   553 meV/atom
Polymorph energy (0 for the lowest one)   0 meV/atom
Raw total energy   -0.22501 Ha/atom
DOS at the Fermi energy   4.53 states/eV per cell

```
TaSi2Sn
1.0
0.0000 3.2991 3.2991
3.2991 0.0000 3.2991
3.2991 3.2991 0.0000
Ta Si Sn
1 2 1
Direct
0.0000 0.0000 0.0000
0.2500 0.2500 0.2500
0.7500 0.7500 0.7500
0.5000 0.5000 0.5000
```

=====

[2]
The following is a PBE calculation of an optimized crystal structure of La4Ru2Br, from Alexandria.

Output
Formation energy from raw total energies   -632 meV/atom
Raw total energy   -0.23289 Ha/atom
DOS at the Fermi energy   3.59 states/eV per cell

```
La4Ru2Br
1.0
2.0853 1.2040 14.3971
-2.0853 1.2040 14.3971
0.0000 -2.4079 14.3971
La Ru Br
4 2 1
Direct
0.1259 0.1259 0.1259
0.2777 0.2777 0.2777
0.7223 0.7223 0.7223
0.8741 0.8741 0.8741
0.4254 0.4254 0.4254
0.5746 0.5746 0.5746
0.0000 0.0000 0.0000
```

=====

[3]
The following is a PBE calculation of an optimized crystal structure of ScTaFeCo, from Alexandria.

Output
Formation energy   -94 kJ/mol of formula units
Raw total energy   -0.31901 Ha/atom
DOS at the Fermi energy   2.58 states/eV per cell

```
ScTaFeCo
1.0
3.0829 0.0000 0.0000
0.0000 3.0829 0.0000
0.0000 0.0000 6.2446
Sc Ta Fe Co
1 1 1 1
Direct
0.0000 0.0000 0.0000
0.0000 0.0000 0.4968
0.5000 0.5000 0.2722
0.5000 0.5000 0.7304
```

=====

[4]
The following is a PBE calculation of an optimized crystal structure of LiMgI3, from Alexandria.

Output
Formation energy from raw total energies   -784 meV/atom
Raw total energy   -0.08879 Ha/atom
DOS at the Fermi energy   0.00 states/eV per cell

```
LiMgI3
1.0
5.7927 0.0000 0.0000
0.0000 5.7927 0.0000
0.0000 0.0000 5.7927
Li Mg I
1 1 3
Direct
0.0000 0.0000 0.0000
0.5000 0.5000 0.5000
0.0000 0.5000 0.5000
0.5000 0.0000 0.5000
0.5000 0.5000 0.0000
```

=====

[5]
The following is a PBE calculation of an optimized crystal structure of Ho8Er2Sn, from Alexandria.

Output
Formation energy   -108 kJ/mol of formula units
Raw total energy   -0.16996 Ha/atom
DOS at the Fermi energy   15.39 states/eV per cell

```
Ho8Er2Sn
1.0
9.6216 -2.7470 0.0000
9.6216 2.7470 0.0000
-0.5501 0.0000 6.3450
Ho Er Sn
8 2 1
Direct
0.0442 0.0442 0.2646
0.1548 0.1548 0.8030
0.3380 0.3380 0.8768
0.4213 0.4213 0.4020
0.5787 0.5787 0.5980
0.6620 0.6620 0.1232
0.8452 0.8452 0.1970
0.9558 0.9558 0.7354
0.2434 0.2434 0.3364
0.7566 0.7566 0.6636
0.5000 0.5000 0.0000
```

=====

[6]
The following is a PBE calculation of an optimized crystal structure of SnGe2Br, from Alexandria.

Output
Formation energy from raw total energies   255 meV/atom
Polymorph energy (0 for the lowest one)   0 meV/atom
Raw total energy   -0.12761 Ha/atom
DOS at the Fermi energy   2.25 states/eV per cell

```
SnGe2Br
1.0
0.0000 3.5965 3.5965
3.5965 0.0000 3.5965
3.5965 3.5965 0.0000
Sn Ge Br
1 2 1
Direct
0.0000 0.0000 0.0000
0.2500 0.2500 0.2500
0.7500 0.7500 0.7500
0.5000 0.5000 0.5000
```

=====

- Among the records above, which one has the highest raw total energy?
  LiMgI3

=====

- Number 6 is which compound?
  SnGe2Br

=====

- Number 2 is which compound?
  La4Ru2Br

=====

- What is the formula in the first record?
  TaSi2Sn